VASP calculation (PBE-GGA) on a relaxed structure of Pm12Tl6Cu.

Values from the calculation:
- Raw total energy: -234.5 eV per cell
- Size of the total moment: 0.0 μB per formula unit
- E_form: -15 kJ per mole of atoms

Geometry as CIF:
```
data_Pm12Tl6Cu
_space_group_name_H-M_alt 'R -3'
_space_group_IT_number 148
_space_group_name_Hall '-R 3'
_cell_length_a 12.2960
_cell_length_b 12.2960
_cell_length_c 13.7706
_cell_angle_alpha 90.00
_cell_angle_beta 90.00
_cell_angle_gamma 120.00
loop_
_atom_site_label
_atom_site_type_symbol
_atom_site_fract_x
_atom_site_fract_y
_atom_site_fract_z
Pm1 Pm 0.0415 0.1899 0.3613
Pm2 Pm 0.0437 0.8473 0.8944
Tl1 Tl 0.0020 0.4070 0.2323
Cu1 Cu 0.0000 0.0000 0.5000
```